! LaSb2Au, optimized geometry, DFT PBEsol; values from VASP
&SYSTEM
  ibrav = 0, nat = 4, ntyp = 3
/
ATOMIC_SPECIES
Au 196.97 Au.upf
Sb 121.76 Sb.upf
La 138.91 La.upf
CELL_PARAMETERS angstrom
-3.152 -3.136 2.167
1.722 -3.915 2.485
-0.314 0.372 5.728
ATOMIC_POSITIONS angstrom
Au -0.881 -3.482 4.970
Sb -0.435 -1.648 2.628
Sb -1.418 -6.847 4.965
La -1.313 -5.092 7.657
! Symmetry ... R3m
! Electronic total energy ... -20.5 eV/f.u.
! Fermi-level density of states ... 2.14 states/eV per cell

---

! NiSb2Ru, optimized geometry, DFT PBEsol; values from VASP
&SYSTEM
  ibrav = 0, nat = 4, ntyp = 3
/
ATOMIC_SPECIES
Ni 58.69 Ni.upf
Ru 101.07 Ru.upf
Sb 121.76 Sb.upf
CELL_PARAMETERS angstrom
-2.298 2.234 -0.173
-1.308 -1.034 4.039
4.898 2.728 -0.079
ATOMIC_POSITIONS angstrom
Ni 3.030 3.258 1.816
Ru 0.916 1.172 2.960
Sb 1.230 3.861 3.751
Sb 0.501 2.891 0.902
! Symmetry ... Imm2
! Electronic total energy ... -24.5 eV/f.u.
! Energy relative to the lowest polymorph listed for this composition ... 122 meV per atom
! Fermi-level density of states ... 3.39 states/eV per cell

---

! Cd2AgHg, optimized geometry, DFT PBEsol; values from VASP
&SYSTEM
  ibrav = 0, nat = 4, ntyp = 3
/
ATOMIC_SPECIES
Cd 112.41 Cd.upf
Hg 200.59 Hg.upf
Ag 107.87 Ag.upf
CELL_PARAMETERS angstrom
-2.107 -2.691 -0.865
0.715 -1.926 4.250
-3.009 4.666 -0.001
ATOMIC_POSITIONS angstrom
Cd -1.919 1.221 0.876
Cd -2.483 -1.172 2.508
Hg -1.053 -1.346 -0.433
Ag 0.357 -0.963 2.125
! DFT formation energy ... 0.02 eV/atom
! Symmetry ... Immm
! Electronic total energy ... -6.2 eV/f.u.
! Fermi-level density of states ... 1.12 states/eV per cell

---

! Ta2Be2Rh, optimized geometry, DFT PBEsol; values from VASP
&SYSTEM
  ibrav = 0, nat = 10, ntyp = 3
/
ATOMIC_SPECIES
Ta 180.95 Ta.upf
Be 9.01 Be.upf
Rh 102.91 Rh.upf
CELL_PARAMETERS angstrom
3.467 0.000 0.000
0.000 6.059 0.000
0.000 0.000 6.059
ATOMIC_POSITIONS angstrom
Ta 1.733 1.983 1.046
Ta 1.733 4.076 5.013
Ta 1.733 5.013 1.983
Ta 1.733 1.046 4.076
Be 0.000 0.754 2.275
Be 0.000 5.305 3.784
Be 0.000 3.784 0.754
Be 0.000 2.275 5.305
Rh 0.000 0.000 0.000
Rh 0.000 3.030 3.030
! DFT formation energy ... -0.40 eV/atom
! Symmetry ... P4/mbm
! Electronic total energy ... -43.3 eV/f.u.
! Fermi-level density of states ... 4.70 states/eV per cell

---

! Ba2MnBr, optimized geometry, DFT PBEsol; values from VASP
&SYSTEM
  ibrav = 0, nat = 4, ntyp = 3
/
ATOMIC_SPECIES
Ba 137.33 Ba.upf
Mn 54.94 Mn.upf
Br 79.90 Br.upf
CELL_PARAMETERS angstrom
-3.272 0.091 -1.805
-0.226 -5.872 0.114
-2.827 0.209 5.133
ATOMIC_POSITIONS angstrom
Ba 0.000 0.000 0.000
Ba -1.526 -2.832 2.624
Mn -3.049 0.150 1.664
Br -1.749 -2.891 -0.846
! Symmetry ... Pmmm
! Electronic total energy ... -17.0 eV/f.u.
! Fermi-level density of states ... 4.69 states/eV per cell

---

! RbLiHfAu2, optimized geometry, DFT PBEsol; values from VASP
&SYSTEM
  ibrav = 0, nat = 5, ntyp = 4
/
ATOMIC_SPECIES
Au 196.97 Au.upf
Li 6.94 Li.upf
Rb 85.47 Rb.upf
Hf 178.49 Hf.upf
CELL_PARAMETERS angstrom
5.335 0.000 0.000
0.000 5.530 0.000
0.000 0.000 5.530
ATOMIC_POSITIONS angstrom
Au 0.000 0.000 2.765
Au 0.000 2.765 0.000
Li 2.668 2.765 2.765
Rb 0.000 0.000 0.000
Hf 2.668 0.000 0.000
! DFT formation energy ... 1.76 eV/atom
! Symmetry ... P4/mmm
! Electronic total energy ... -12.5 eV/f.u.
! Fermi-level density of states ... 4.84 states/eV per cell

---

! Cd5Rh4, optimized geometry, DFT PBEsol; values from VASP
&SYSTEM
  ibrav = 0, nat = 9, ntyp = 2
/
ATOMIC_SPECIES
Rh 102.91 Rh.upf
Cd 112.41 Cd.upf
CELL_PARAMETERS angstrom
-3.110 2.520 0.889
-5.114 -3.458 1.364
0.033 1.185 6.210
ATOMIC_POSITIONS angstrom
Rh -3.792 0.861 3.203
Rh -1.749 -0.422 4.533
Rh -3.332 -1.851 3.041
Rh -4.399 -0.614 5.260
Cd -2.775 -0.357 0.760
Cd -5.449 -0.581 1.493
Cd 0.000 0.000 0.000
Cd -2.066 2.470 4.678
Cd -1.011 1.234 2.421
! DFT formation energy ... -0.04 eV/atom
! Symmetry ... I4/mmm
! Electronic total energy ... -38.9 eV/f.u.
! Fermi-level density of states ... 6.12 states/eV per cell

---

! Hg3Cl2O2, optimized geometry, DFT PBEsol; values from VASP
&SYSTEM
  ibrav = 0, nat = 14, ntyp = 3
/
ATOMIC_SPECIES
Cl 35.45 Cl.upf
Hg 200.59 Hg.upf
O 16.00 O.upf
CELL_PARAMETERS angstrom
-1.939 -2.260 5.584
4.113 -4.229 -3.360
5.520 2.910 3.094
ATOMIC_POSITIONS angstrom
Cl 6.255 0.134 2.377
Cl 1.439 -3.713 2.941
Cl 6.971 -2.687 -0.054
Cl 0.723 -0.892 5.372
Hg 4.816 -0.660 -0.133
Hg 3.032 -3.769 0.218
Hg 4.661 0.190 5.100
Hg 0.000 0.000 0.000
Hg 2.268 -0.973 2.623
Hg 5.425 -2.606 2.695
O 3.844 -1.964 1.170
O 0.195 -0.689 1.957
O 3.849 -1.615 4.148
O 7.499 -2.890 3.361
! Symmetry ... P2_1/c
! Electronic total energy ... -19.3 eV/f.u.
! Fermi-level density of states ... 0.65 states/eV per cell

---

! MgZn2Cd, optimized geometry, DFT PBEsol; values from VASP
&SYSTEM
  ibrav = 0, nat = 4, ntyp = 3
/
ATOMIC_SPECIES
Mg 24.30 Mg.upf
Zn 65.41 Zn.upf
Cd 112.41 Cd.upf
CELL_PARAMETERS angstrom
3.126 0.000 0.000
0.000 4.309 0.000
-1.563 0.000 5.214
ATOMIC_POSITIONS angstrom
Mg 1.563 2.154 2.990
Zn 0.000 0.000 1.936
Zn 0.000 2.154 0.581
Cd 0.000 0.000 4.692
! DFT formation energy ... -0.03 eV/atom
! Symmetry ... Amm2
! Electronic total energy ... -6.2 eV/f.u.
! Energy relative to the lowest polymorph listed for this composition ... 0 meV per atom
! Fermi-level density of states ... 1.17 states/eV per cell

---

! HgHO2, optimized geometry, DFT PBEsol; values from VASP
&SYSTEM
  ibrav = 0, nat = 4, ntyp = 3
/
ATOMIC_SPECIES
H 1.01 H.upf
Hg 200.59 Hg.upf
O 16.00 O.upf
CELL_PARAMETERS angstrom
-0.108 -0.551 3.783
1.436 -3.208 1.507
3.230 0.127 2.044
ATOMIC_POSITIONS angstrom
H 0.000 0.000 0.000
Hg 2.279 -1.816 3.667
O 3.418 -2.725 5.501
O 1.139 -0.908 1.834
! Symmetry ... Fm-3m
! Electronic total energy ... -11.2 eV/f.u.
! Fermi-level density of states ... 4.19 states/eV per cell

---

! SbSe, optimized geometry, DFT PBEsol; values from VASP
&SYSTEM
  ibrav = 0, nat = 4, ntyp = 2
/
ATOMIC_SPECIES
Sb 121.76 Sb.upf
Se 78.96 Se.upf
CELL_PARAMETERS angstrom
-1.057 3.258 0.951
-2.749 -1.406 1.760
4.521 -0.483 6.674
ATOMIC_POSITIONS angstrom
Sb 0.189 1.552 1.535
Sb 2.429 -1.109 6.496
Se 0.077 -0.858 3.023
Se 2.541 1.301 5.007
! Symmetry ... P4/nmm
! Electronic total energy ... -8.4 eV/f.u.
! Fermi-level density of states ... 1.72 states/eV per cell

---

! NaMg30CoO32, optimized geometry, DFT PBEsol; values from VASP
&SYSTEM
  ibrav = 0, nat = 64, ntyp = 4
/
ATOMIC_SPECIES
Na 22.99 Na.upf
O 16.00 O.upf
Mg 24.30 Mg.upf
Co 58.93 Co.upf
CELL_PARAMETERS angstrom
8.435 0.000 0.000
0.000 8.436 0.000
0.000 0.000 8.436
ATOMIC_POSITIONS angstrom
Na 0.000 4.218 4.218
O 0.000 4.218 1.982
O 2.104 6.335 6.335
O 2.107 0.000 4.218
O 6.331 2.101 6.335
O 2.104 2.101 6.335
O 4.218 2.081 4.218
O 1.996 0.000 0.000
O 0.000 0.000 6.460
O 4.218 0.000 2.076
O 6.329 0.000 4.218
O 0.000 0.000 1.975
O 0.000 1.982 4.218
O 2.104 6.335 2.101
O 4.218 6.355 4.218
O 2.212 4.218 4.218
O 4.218 0.000 6.360
O 4.218 4.218 2.081
O 6.329 4.218 0.000
O 2.107 4.218 0.000
O 6.331 6.335 6.335
O 0.000 6.460 0.000
O 2.104 2.101 2.101
O 4.218 6.360 0.000
O 4.218 2.076 0.000
O 0.000 4.218 6.454
O 4.218 4.218 6.355
O 6.331 2.101 2.101
O 6.440 0.000 0.000
O 0.000 1.975 0.000
O 6.223 4.218 4.218
O 0.000 6.454 4.218
O 6.331 6.335 2.101
Mg 2.102 0.000 2.112
Mg 4.218 2.117 2.117
Mg 6.336 6.309 4.218
Mg 6.336 4.218 2.126
Mg 4.218 4.218 4.218
Mg 0.000 6.312 6.312
Mg 6.334 6.323 0.000
Mg 4.218 6.319 6.319
Mg 0.000 2.124 6.312
Mg 0.000 4.218 0.000
Mg 4.218 4.218 0.000
Mg 6.334 0.000 6.323
Mg 4.218 6.319 2.117
Mg 6.336 2.126 4.218
Mg 4.218 0.000 0.000
Mg 6.334 0.000 2.112
Mg 2.102 0.000 6.323
Mg 2.099 4.218 2.126
Mg 2.102 6.323 0.000
Mg 2.099 2.126 4.218
Mg 2.099 6.309 4.218
Mg 6.334 2.112 0.000
Mg 2.102 2.112 0.000
Mg 0.000 6.312 2.124
Mg 4.218 2.117 6.319
Mg 6.336 4.218 6.309
Mg 0.000 2.124 2.124
Mg 4.218 0.000 4.218
Mg 2.099 4.218 6.309
Mg 0.000 0.000 4.218
Co 0.000 0.000 0.000
! Symmetry ... P4/mmm
! Electronic total energy ... -397.3 eV/f.u.

---

! Sc3CoRh, optimized geometry, DFT PBEsol; values from VASP
&SYSTEM
  ibrav = 0, nat = 5, ntyp = 3
/
ATOMIC_SPECIES
Sc 44.96 Sc.upf
Rh 102.91 Rh.upf
Co 58.93 Co.upf
CELL_PARAMETERS angstrom
4.849 0.000 0.000
0.000 4.849 0.000
0.000 0.000 4.849
ATOMIC_POSITIONS angstrom
Sc 2.425 0.000 0.000
Sc 0.000 2.425 0.000
Sc 0.000 0.000 2.425
Rh 0.000 0.000 0.000
Co 2.425 2.425 2.425
! DFT formation energy ... 0.30 eV/atom
! Symmetry ... Pm-3m
! Electronic total energy ... -34.2 eV/f.u.
! Fermi-level density of states ... 6.54 states/eV per cell

---

! TlNi2Br, optimized geometry, DFT PBEsol; values from VASP
&SYSTEM
  ibrav = 0, nat = 4, ntyp = 3
/
ATOMIC_SPECIES
Tl 204.38 Tl.upf
Br 79.90 Br.upf
Ni 58.69 Ni.upf
CELL_PARAMETERS angstrom
-2.264 2.687 -0.711
-2.318 -2.332 -1.430
0.014 -0.835 5.835
ATOMIC_POSITIONS angstrom
Tl -2.291 0.178 -1.070
Br -2.298 -1.495 1.668
Ni 0.000 0.000 0.000
Ni -2.271 1.015 2.027
! Symmetry ... I-4m2
! Electronic total energy ... -14.9 eV/f.u.
! Energy relative to the lowest polymorph listed for this composition ... 64 meV per atom
! Fermi-level density of states ... 3.24 states/eV per cell

---

! RbFe2CuO, optimized geometry, DFT PBEsol; values from VASP
&SYSTEM
  ibrav = 0, nat = 5, ntyp = 4
/
ATOMIC_SPECIES
Fe 55.84 Fe.upf
Cu 63.55 Cu.upf
O 16.00 O.upf
Rb 85.47 Rb.upf
CELL_PARAMETERS angstrom
4.194 0.000 0.000
0.000 4.778 0.000
0.000 0.000 4.778
ATOMIC_POSITIONS angstrom
Fe 0.000 0.000 2.389
Fe 0.000 2.389 0.000
Cu 2.097 2.389 2.389
O 2.097 0.000 0.000
Rb 0.000 0.000 0.000
! Symmetry ... P4/mmm
! Electronic total energy ... -17.1 eV/f.u.
! Fermi-level density of states ... 7.82 states/eV per cell

---

! Sr4HgPb, optimized geometry, DFT PBEsol; values from VASP
&SYSTEM
  ibrav = 0, nat = 6, ntyp = 3
/
ATOMIC_SPECIES
Hg 200.59 Hg.upf
Sr 87.62 Sr.upf
Pb 207.20 Pb.upf
CELL_PARAMETERS angstrom
-0.388 -0.150 6.914
4.543 -3.751 3.643
4.841 3.167 3.810
ATOMIC_POSITIONS angstrom
Hg 6.747 -0.551 10.776
Sr 3.368 -0.275 5.379
Sr 5.801 1.317 7.293
Sr 3.173 -0.350 8.854
Sr 5.651 -2.160 7.210
Pb 0.000 0.000 0.000
! DFT formation energy ... 0.25 eV/atom
! Symmetry ... F-43m
! Electronic total energy ... -10.4 eV/f.u.
! Fermi-level density of states ... 8.36 states/eV per cell

---

! Ta2B, optimized geometry, DFT PBEsol; values from VASP
&SYSTEM
  ibrav = 0, nat = 6, ntyp = 2
/
ATOMIC_SPECIES
Ta 180.95 Ta.upf
B 10.81 B.upf
CELL_PARAMETERS angstrom
-0.894 -4.527 1.071
2.020 0.976 -4.173
3.119 1.452 3.257
ATOMIC_POSITIONS angstrom
Ta 1.599 -0.618 1.288
Ta 2.645 -1.481 -1.132
Ta 3.800 1.106 0.113
Ta 0.444 -3.205 0.043
B 0.844 -2.663 -2.326
B 0.281 -0.888 -0.775
! DFT formation energy ... -0.57 eV/atom
! Symmetry ... I4/mcm
! Electronic total energy ... -33.8 eV/f.u.
! Fermi-level density of states ... 3.01 states/eV per cell

---

! LiTiSbRu2, optimized geometry, DFT PBEsol; values from VASP
&SYSTEM
  ibrav = 0, nat = 5, ntyp = 4
/
ATOMIC_SPECIES
Li 6.94 Li.upf
Ti 47.87 Ti.upf
Ru 101.07 Ru.upf
Sb 121.76 Sb.upf
CELL_PARAMETERS angstrom
4.450 0.000 0.000
0.000 4.450 0.000
0.000 0.000 4.555
ATOMIC_POSITIONS angstrom
Li 0.000 0.000 2.278
Ti 0.000 0.000 0.000
Ru 2.225 0.000 0.000
Ru 0.000 2.225 0.000
Sb 2.225 2.225 2.278
! Symmetry ... P4/mmm
! Electronic total energy ... -31.1 eV/f.u.
! Fermi-level density of states ... 3.74 states/eV per cell

---

! TlAu3, optimized geometry, DFT PBEsol; values from VASP
&SYSTEM
  ibrav = 0, nat = 4, ntyp = 2
/
ATOMIC_SPECIES
Au 196.97 Au.upf
Tl 204.38 Tl.upf
CELL_PARAMETERS angstrom
-2.188 1.986 2.896
1.734 -2.355 2.926
3.438 3.089 -2.476
ATOMIC_POSITIONS angstrom
Au -0.227 -0.185 2.911
Au 2.473 0.275 1.680
Au 0.511 2.445 1.665
Tl 0.000 0.000 0.000
! DFT formation energy ... 0.08 eV/atom
! Symmetry ... I4/mmm
! Electronic total energy ... -14.1 eV/f.u.
! Fermi-level density of states ... 1.22 states/eV per cell

---

! NpSi2Pd2, optimized geometry, DFT PBEsol; values from VASP
&SYSTEM
  ibrav = 0, nat = 5, ntyp = 3
/
ATOMIC_SPECIES
Si 28.09 Si.upf
Np 237.00 Np.upf
Pd 106.42 Pd.upf
CELL_PARAMETERS angstrom
-2.438 2.818 1.465
-2.522 -2.840 1.268
4.947 -0.181 3.112
ATOMIC_POSITIONS angstrom
Si 1.913 -0.149 3.472
Si -1.926 -0.054 2.372
Np 0.000 0.000 0.000
Pd 0.015 1.313 2.971
Pd -0.027 -1.516 2.873
! Symmetry ... I4/mmm
! Electronic total energy ... -40.0 eV/f.u.
! Fermi-level density of states ... 11.07 states/eV per cell

---

! MnAlAs2, optimized geometry, DFT PBEsol; values from VASP
&SYSTEM
  ibrav = 0, nat = 4, ntyp = 3
/
ATOMIC_SPECIES
As 74.92 As.upf
Mn 54.94 Mn.upf
Al 26.98 Al.upf
CELL_PARAMETERS angstrom
-2.124 -2.247 -1.141
2.430 -0.451 -3.636
2.323 -3.184 1.947
ATOMIC_POSITIONS angstrom
As 1.215 -0.225 -1.818
As 1.162 -1.592 0.974
Mn 1.314 -2.941 -1.415
Al -1.062 -1.124 -0.570
! DFT formation energy ... 0.17 eV/atom
! Symmetry ... P4/mmm
! Electronic total energy ... -23.4 eV/f.u.
! Fermi-level density of states ... 2.79 states/eV per cell

---

! MnRe2Se, optimized geometry, DFT PBEsol; values from VASP
&SYSTEM
  ibrav = 0, nat = 4, ntyp = 3
/
ATOMIC_SPECIES
Mn 54.94 Mn.upf
Re 186.21 Re.upf
Se 78.96 Se.upf
CELL_PARAMETERS angstrom
-0.323 2.663 -1.100
-4.084 -0.933 -1.060
0.882 0.559 4.918
ATOMIC_POSITIONS angstrom
Mn -2.636 0.174 1.196
Re -3.513 2.276 2.722
Re -0.874 2.099 1.519
Se -2.231 0.894 -1.001
! Symmetry ... Imm2
! Electronic total energy ... -38.9 eV/f.u.
! Fermi-level density of states ... 3.11 states/eV per cell

---

! Zr2PtPb, optimized geometry, DFT PBEsol; values from VASP
&SYSTEM
  ibrav = 0, nat = 4, ntyp = 3
/
ATOMIC_SPECIES
Zr 91.22 Zr.upf
Pb 207.20 Pb.upf
Pt 195.08 Pt.upf
CELL_PARAMETERS angstrom
4.081 0.000 0.000
0.000 4.081 0.000
-2.040 -2.040 4.834
ATOMIC_POSITIONS angstrom
Zr 2.040 0.000 2.417
Zr 0.000 0.000 0.000
Pb 2.040 2.040 0.000
Pt 0.000 2.040 2.417
! DFT formation energy ... -0.47 eV/atom
! Symmetry ... I-4m2
! Electronic total energy ... -31.0 eV/f.u.
! Fermi-level density of states ... 3.16 states/eV per cell

---

! Li2AgTe, optimized geometry, DFT PBEsol; values from VASP
&SYSTEM
  ibrav = 0, nat = 4, ntyp = 3
/
ATOMIC_SPECIES
Li 6.94 Li.upf
Te 127.60 Te.upf
Ag 107.87 Ag.upf
CELL_PARAMETERS angstrom
3.173 0.000 0.042
0.000 3.944 0.000
-0.079 0.000 5.952
ATOMIC_POSITIONS angstrom
Li -0.058 0.000 4.445
Li 3.152 0.000 1.549
Te 1.587 1.972 0.021
Ag 1.547 1.972 2.997
! Symmetry ... Pmmm
! Electronic total energy ... -12.4 eV/f.u.
! Fermi-level density of states ... 1.26 states/eV per cell

---

! ScTc2WO, optimized geometry, DFT PBEsol; values from VASP
&SYSTEM
  ibrav = 0, nat = 5, ntyp = 4
/
ATOMIC_SPECIES
O 16.00 O.upf
W 183.84 W.upf
Tc 98.00 Tc.upf
Sc 44.96 Sc.upf
CELL_PARAMETERS angstrom
4.551 0.000 0.000
0.000 4.551 0.000
0.000 0.000 5.286
ATOMIC_POSITIONS angstrom
O 2.275 2.275 2.643
W 0.000 0.000 0.000
Tc 0.000 2.275 0.000
Tc 2.275 0.000 0.000
Sc 0.000 0.000 2.643
! Symmetry ... P4/mmm
! Electronic total energy ... -39.1 eV/f.u.
! Fermi-level density of states ... 5.59 states/eV per cell